A plane-wave DFT calculation with PBE+U was carried out for a geometry-optimized TiMnCF2 structure.

Its crystal system is tetragonal. As for the uncorrected energy: -5.319 eV/atom. Its density of states at the Fermi level is 1.6 states/eV per cell. The space-group type is No. 123.

Cell and atoms, written as extended XYZ:
```
5
Lattice="-2.7560 2.9916 1.1926 -2.5734 -2.7674 0.9950 1.6063 -0.0837 3.9218" Properties=species:S:1:pos:R:3 pbc="T T T"
C 0.0000 0.0000 0.0000
Mn -1.2867 -1.3837 0.4975
Ti -1.8615 0.0703 3.0547
F -1.3780 1.4958 0.5963
F 0.8032 -0.0418 1.9609
```